TaTc2Ir: optimized geometry, PBEsol.

Geometry as extended XYZ:
```
4
Lattice="2.7178 -0.4499 0.0000 -1.8180 5.8827 0.0000 -0.4499 -2.7164 3.9038" Properties=species:S:1:pos:R:3 pbc="T T T"
Tc 0.2249 1.3582 1.9519
Ir 1.3589 -0.2250 0.0000
Ta -0.9090 2.9413 0.0000
Tc -0.2249 -1.3582 1.9519
```

Properties
Energy relative to the lowest polymorph listed for this composition (meV/atom): 92.3
Formation energy from the elements (eV/atom): -0.123
Final energy (eV for the cell shown): -45.399